## NiPRh2 (PBE-GGA)

Data for a relaxed NiPRh2 crystal.

Properties
Crystal system   tetragonal
Energy relative to the elements   -0.042 eV/atom
Energy above the lowest structure with this stoichiometry   1.01 eV per formula unit
Spin magnetization   1.3 μB per formula unit

a = 4.5977 Å, b = 4.5977 Å, c = 4.5977 Å
α = 132.57°, β = 132.57°, γ = 69.34°
Site moments in Bohr magnetons follow the coordinates.
Atoms (fractional coordinates):
1 Rh 0.0000 0.0000 0.0000  0.35
2 Rh 0.2500 0.7500 0.5000  0.45
3 P 0.7500 0.2500 0.5000  0.02
4 Ni 0.5000 0.5000 0.0000  0.51



## TmInAu (PBE-GGA)

Data for a relaxed TmInAu crystal.

Properties
Crystal system   orthorhombic
Energy relative to the elements   -0.645 eV/atom
Spin magnetization   0.0 μB per formula unit

a = 4.5820 Å, b = 3.6451 Å, c = 8.6843 Å
α = 77.89°, β = 90.00°, γ = 90.00°
Atoms (fractional coordinates):
1 Au 0.2500 0.5515 0.8970
2 Au 0.7500 0.4485 0.1030
3 In 0.2500 0.7162 0.5677
4 Tm 0.2500 0.9078 0.1844
5 In 0.7500 0.2838 0.4323
6 Tm 0.7500 0.0922 0.8156



## Pm3GeP2Ir9 (PBE-GGA)

Data for a relaxed Pm3GeP2Ir9 crystal.

Properties
Crystal system   trigonal
Energy relative to the elements   -0.374 eV/atom
Spin magnetization   0.0 μB per formula unit

a = 5.7216 Å, b = 5.7216 Å, c = 10.1383 Å
α = 90.00°, β = 90.00°, γ = 120.00°
Atoms (fractional coordinates):
1 Pm 0.3333 0.6667 0.5862
2 Ir 0.8416 0.1584 0.6954
3 P 0.6667 0.3333 0.8398
4 Ir 0.5000 0.0000 0.0000
5 Ir 0.3168 0.1584 0.6954
6 Ge 0.0000 0.0000 0.5000
7 Ir 0.1584 0.8416 0.3046
8 Ir 0.8416 0.6832 0.6954
9 Pm 0.6667 0.3333 0.4138
10 Ir 0.1584 0.3168 0.3046
11 Ir 0.0000 0.5000 0.0000
12 P 0.3333 0.6667 0.1602
13 Pm 0.0000 0.0000 0.0000
14 Ir 0.6832 0.8416 0.3046
15 Ir 0.5000 0.5000 0.0000



## KGa3Sb3 (PBE-GGA)

Data for a relaxed KGa3Sb3 crystal.

Properties
Crystal system   hexagonal
Uncorrected formation energy   -0.156 eV/atom
Energy above the lowest structure with this stoichiometry   0.12 eV per formula unit
Spin magnetization   0.0 μB per formula unit

a = 5.0349 Å, b = 10.2744 Å, c = 10.2743 Å
α = 120.00°, β = 90.00°, γ = 90.00°
Atoms (fractional coordinates):
1 Sb 0.2500 0.6080 0.6799
2 Ga 0.2500 0.5949 0.9387
3 Sb 0.7500 0.9281 0.6080
4 K 0.7500 0.3333 0.6667
5 Ga 0.7500 0.6562 0.5949
6 Ga 0.2500 0.3438 0.4051
7 Sb 0.7500 0.3920 0.3201
8 Sb 0.2500 0.3201 0.9281
9 Ga 0.2500 0.0613 0.6562
10 Sb 0.7500 0.6799 0.0719
11 K 0.2500 0.6667 0.3333
12 Ga 0.7500 0.9387 0.3438
13 Ga 0.7500 0.4051 0.0613
14 Sb 0.2500 0.0719 0.3920



## Y6Ho2Cd (PBE-GGA)

Data for a relaxed Y6Ho2Cd crystal.

Properties
Crystal system   hexagonal
Energy relative to the elements   -0.079 eV/atom
Energy above the lowest structure with this stoichiometry   0.00 eV per formula unit
Spin magnetization   0.0 μB per formula unit

a = 3.6040 Å, b = 9.4525 Å, c = 9.4516 Å
α = 120.00°, β = 90.00°, γ = 90.00°
Atoms (fractional coordinates):
1 Ho 0.0000 0.3333 0.6666
2 Y 0.0000 0.0000 0.2789
3 Y 0.5000 0.3798 0.3798
4 Ho 0.0000 0.6667 0.3334
5 Y 0.5000 0.6202 0.0000
6 Y 0.0000 0.7211 0.7211
7 Cd 0.5000 0.0001 0.0000
8 Y 0.5000 0.0000 0.6202
9 Y 0.0000 0.2789 0.0000



## Ag2As2Au (PBE-GGA)

Data for a relaxed Ag2As2Au crystal.

Properties
Crystal system   tetragonal
Energy relative to the elements   0.301 eV/atom
Energy above the lowest structure with this stoichiometry   0.63 eV per formula unit
Spin magnetization   0.0 μB per formula unit

a = 7.2971 Å, b = 7.2971 Å, c = 3.8226 Å
α = 90.00°, β = 90.00°, γ = 90.00°
Atoms (fractional coordinates):
1 Au 0.5000 0.5000 0.0000
2 Ag 0.3405 0.8405 0.0000
3 Au 0.0000 0.0000 0.0000
4 As 0.3735 0.1265 0.5000
5 Ag 0.8405 0.6595 0.0000
6 Ag 0.6595 0.1595 0.0000
7 Ag 0.1595 0.3405 0.0000
8 As 0.6265 0.8735 0.5000
9 As 0.1265 0.6265 0.5000
10 As 0.8735 0.3735 0.5000



## PrSi3Tc (PBE-GGA)

Data for a relaxed PrSi3Tc crystal.

Properties
Crystal system   trigonal
Uncorrected formation energy   -0.428 eV/atom
Spin magnetization   0.0 μB per formula unit

a = 5.9009 Å, b = 5.9010 Å, c = 7.1848 Å
α = 65.76°, β = 65.76°, γ = 60.01°
Atoms (fractional coordinates):
1 Si 0.5734 0.2818 0.9078
2 Si 0.1549 0.2816 0.9080
3 Si 0.1551 0.7001 0.9077
4 Pr 0.4524 0.5790 0.4338
5 Si 0.0146 0.1411 0.3440
6 Si 0.0145 0.5445 0.3440
7 Tc 0.8782 0.0048 0.1565
8 Si 0.4179 0.1411 0.3440
9 Tc 0.0357 0.1625 0.6837
10 Pr 0.6865 0.8133 0.7314



## Tb5TlCd2 (PBE-GGA)

Data for a relaxed Tb5TlCd2 crystal.

Properties
Crystal system   orthorhombic
Energy relative to the elements   -0.215 eV/atom
Energy above the lowest structure with this stoichiometry   0.00 eV per formula unit
Spin magnetization   0.0 μB per formula unit

a = 5.3104 Å, b = 6.6577 Å, c = 12.9511 Å
α = 90.00°, β = 90.00°, γ = 90.00°
Atoms (fractional coordinates):
1 Tb 0.5000 0.1479 0.6169
2 Cd 0.5000 0.1206 0.8650
3 Tb 0.0000 0.0000 0.0000
4 Cd 0.5000 0.8794 0.1350
5 Tb 0.0000 0.8384 0.7248
6 Tb 0.0000 0.3384 0.7752
7 Tl 0.0000 0.0000 0.5000
8 Tb 0.0000 0.1616 0.2752
9 Cd 0.5000 0.6206 0.6350
10 Tb 0.5000 0.8521 0.3831
11 Cd 0.5000 0.3794 0.3650
12 Tb 0.0000 0.6616 0.2248
13 Tb 0.0000 0.5000 0.5000
14 Tl 0.0000 0.5000 0.0000
15 Tb 0.5000 0.6479 0.8831
16 Tb 0.5000 0.3521 0.1169